# 1
PmEuP: optimized geometry, GGA-PBE.

```
3
Lattice="4.086 0.000 0.000 -2.043 3.539 0.000 0.000 0.000 6.838" Properties=species:S:1:pos:R:3 pbc="T T T"
Pm 0.000 0.000 0.000
Eu 0.000 2.359 3.561
P 2.043 1.180 5.316
```

Uncorrected energy in eV/atom: -7.70
D(E_F) in states/eV/atom: 3.223
Energy of formation from the pure elements in eV/atom: -0.88

---

# 2
PmEu2P: optimized geometry, GGA-PBE.

```
12
Lattice="3.924 0.000 0.000 -1.962 3.399 0.000 0.000 0.000 31.957" Properties=species:S:1:pos:R:3 pbc="T T T"
Pm 0.000 0.000 0.000
Pm 0.000 2.266 21.305
Pm 1.962 1.133 10.652
Eu 0.000 0.000 3.615
Eu 0.000 0.000 28.342
Eu 0.000 2.266 17.690
Eu 0.000 2.266 24.919
Eu 1.962 1.133 7.038
Eu 1.962 1.133 14.267
P 0.000 0.000 15.979
P 0.000 2.266 5.326
P 1.962 1.133 26.631
```

Uncorrected energy in eV/atom: -8.07
D(E_F) in states/eV/atom: 2.410
Energy of formation from the pure elements in eV/atom: -0.39

---

# 3
PmEuP2: optimized geometry, GGA-PBE.

```
16
Lattice="7.147 0.000 0.000 0.000 7.147 0.000 0.000 0.000 7.147" Properties=species:S:1:pos:R:3 pbc="T T T"
Pm 0.000 0.000 0.000
Pm 0.000 3.574 3.574
Pm 3.574 0.000 3.574
Pm 3.574 3.574 0.000
Eu 0.000 0.000 3.574
Eu 0.000 3.574 0.000
Eu 3.574 0.000 0.000
Eu 3.574 3.574 3.574
P 1.787 1.787 1.787
P 1.787 1.787 5.361
P 1.787 5.361 1.787
P 1.787 5.361 5.361
P 5.361 1.787 1.787
P 5.361 1.787 5.361
P 5.361 5.361 1.787
P 5.361 5.361 5.361
```

Uncorrected energy in eV/atom: -7.43
D(E_F) in states/eV/atom: 0.773
Energy of formation from the pure elements in eV/atom: -0.97

---

# 4
PrEuP2: optimized geometry, GGA-PBE.

```
12
Lattice="4.193 0.000 0.000 -2.097 3.632 0.000 0.000 0.000 20.530" Properties=species:S:1:pos:R:3 pbc="T T T"
Pr 0.000 0.000 0.000
Pr 0.000 2.421 13.687
Pr 2.097 1.211 6.843
Eu 0.000 0.000 10.265
Eu 0.000 2.421 3.422
Eu 2.097 1.211 17.108
P 0.000 0.000 5.128
P 0.000 0.000 15.402
P 0.000 2.421 8.559
P 0.000 2.421 18.814
P 2.097 1.211 1.715
P 2.097 1.211 11.971
```

Uncorrected energy in eV/atom: -7.74
D(E_F) in states/eV/atom: 2.500
Energy of formation from the pure elements in eV/atom: -1.27

---

# 5
PrEuP: optimized geometry, GGA-PBE.

```
12
Lattice="6.991 0.000 0.000 0.000 6.991 0.000 0.000 0.000 6.991" Properties=species:S:1:pos:R:3 pbc="T T T"
Pr 0.000 0.000 0.000
Pr 0.000 3.495 3.495
Pr 3.495 0.000 3.495
Pr 3.495 3.495 0.000
Eu 0.000 0.000 3.495
Eu 0.000 3.495 0.000
Eu 3.495 0.000 0.000
Eu 3.495 3.495 3.495
P 1.748 1.748 5.243
P 1.748 5.243 1.748
P 5.243 1.748 1.748
P 5.243 5.243 5.243
```

Uncorrected energy in eV/atom: -7.65
D(E_F) in states/eV/atom: 0.706
Energy of formation from the pure elements in eV/atom: -0.83

---

# 6
PrEu2P: optimized geometry, GGA-PBE.

```
12
Lattice="3.941 0.000 0.000 -1.971 3.413 0.000 0.000 0.000 32.106" Properties=species:S:1:pos:R:3 pbc="T T T"
Pr 0.000 0.000 0.000
Pr 0.000 2.275 21.404
Pr 1.971 1.138 10.702
Eu 0.000 0.000 3.645
Eu 0.000 0.000 28.460
Eu 0.000 2.275 17.759
Eu 0.000 2.275 25.049
Eu 1.971 1.138 7.057
Eu 1.971 1.138 14.347
P 0.000 0.000 16.053
P 0.000 2.275 5.351
P 1.971 1.138 26.755
```

Uncorrected energy in eV/atom: -8.10
D(E_F) in states/eV/atom: 2.486
Energy of formation from the pure elements in eV/atom: -0.42